No. 1
Density functional theory data (PBE-GGA) for Ba3Mg2 after structural relaxation.

a b c (Å): 4.382 4.382 23.989
angles (deg): 90.00 90.00 90.00
Atoms (fractional coordinates):
Ba 0.000 0.000 0.317
Ba 0.500 0.500 0.000
Ba 0.000 0.000 0.683
Ba 0.000 0.000 0.500
Ba 0.000 0.000 0.862
Ba 0.000 0.000 0.138
Mg 0.500 0.500 0.774
Mg 0.500 0.500 0.226
Mg 0.500 0.500 0.591
Mg 0.500 0.500 0.409

Output
- formation enthalpy at 0 K (eV/atom) = -0.041
- polymorph energy (0 for the lowest one) (meV/atom) = 0
- calculated density (g cm⁻³) = 3.32
- magnetic moment (μB/atom) = 0.0000
- volume (Å³ per atom) = 46.1



No. 2
Density functional theory data (PBE-GGA) for BeTe2 after structural relaxation.

a b c (Å): 3.502 3.502 25.474
angles (deg): 90.00 90.00 120.00
Atoms (fractional coordinates):
Be 0.333 0.667 0.849
Be 0.667 0.333 0.151
Be 0.000 0.000 0.500
Te 0.333 0.667 0.756
Te 0.667 0.333 0.244
Te 0.000 0.000 0.902
Te 0.333 0.667 0.566
Te 0.667 0.333 0.434
Te 0.000 0.000 0.098

Output
- polymorph energy (0 for the lowest one) (meV/atom) = 188
- formation energy without anion corrections (eV per atom) = 0.0436
- calculated density (g cm⁻³) = 4.87
- magnetic moment (μB/atom) = 0.0000
- volume (Å³ per atom) = 30.1



No. 3
Density functional theory data (PBE-GGA) for BaRu3N after structural relaxation.

a b c (Å): 4.308 4.308 4.308
angles (deg): 90.00 90.00 90.00
Atoms (fractional coordinates):
Ru 0.500 0.000 0.000
Ru 0.000 0.500 0.000
Ru 0.000 0.000 0.500
N 0.000 0.000 0.000
Ba 0.500 0.500 0.500

Output
- polymorph energy (0 for the lowest one) (meV/atom) = 0
- formation energy without anion corrections (eV per atom) = 0.6668
- calculated density (g cm⁻³) = 9.44
- magnetic moment (μB/atom) = 0.0000
- volume (Å³ per atom) = 16.0



No. 4
Density functional theory data (PBE-GGA) for Pa2NbZn16 after structural relaxation.

a b c (Å): 6.811 6.811 6.811
angles (deg): 84.04 84.04 84.04
Last column: magnetic moment on the atom in μB.
Atoms (fractional coordinates):
Zn 0.642 0.642 0.159  0.00
Zn 0.998 0.708 0.287  0.00
Zn 0.006 0.488 0.006  0.00
Zn 0.708 0.287 0.998  0.00
Zn 0.833 0.362 0.362  0.00
Zn 0.287 0.708 0.998  0.00
Zn 0.998 0.287 0.708  0.00
Zn 0.101 0.101 0.101  0.00
Zn 0.006 0.006 0.488  0.00
Zn 0.362 0.833 0.362  0.00
Zn 0.708 0.998 0.287  0.00
Zn 0.362 0.362 0.833  0.00
Zn 0.642 0.159 0.642  0.00
Zn 0.159 0.642 0.642  0.00
Zn 0.287 0.998 0.708  0.00
Zn 0.488 0.006 0.006  0.00
Pa 0.342 0.342 0.342  0.42
Pa 0.687 0.687 0.687  0.00
Nb 0.884 0.884 0.884  0.00

Output
- formation enthalpy at 0 K (eV/atom) = -0.072
- calculated density (g cm⁻³) = 8.55
- magnetic moment (μB/atom) = 0.0277
- volume (Å³ per atom) = 16.4



No. 5
Density functional theory data (PBE-GGA) for Sc2InRu after structural relaxation.

a b c (Å): 7.506 4.702 3.474
angles (deg): 90.01 62.42 128.83
Atoms (fractional coordinates):
Sc 0.000 0.000 0.000
Sc 0.500 0.000 0.500
In 0.000 0.500 0.500
Ru 0.500 0.500 0.000

Output
- formation enthalpy at 0 K (eV/atom) = -0.444
- calculated density (g cm⁻³) = 6.61
- magnetic moment (μB/atom) = 0.0000
- volume (Å³ per atom) = 19.2



No. 6
Density functional theory data (PBE-GGA) for KPaSeS after structural relaxation.

a b c (Å): 4.045 4.045 8.277
angles (deg): 90.02 104.14 119.99
Last column: magnetic moment on the atom in μB.
Atoms (fractional coordinates):
K 0.969 0.383 0.366  0.01
Se 0.112 0.954 0.081  -0.03
Pa 0.298 0.547 0.860  1.51
S 0.499 0.147 0.662  -0.04

Output
- formation energy without anion corrections (eV per atom) = -1.3598
- calculated density (g cm⁻³) = 5.62
- magnetic moment (μB/atom) = 0.4932
- volume (Å³ per atom) = 28.1



No. 7
Density functional theory data (PBE-GGA) for MoRh2Br after structural relaxation.

a b c (Å): 6.243 4.840 2.886
angles (deg): 89.95 62.55 120.50
Atoms (fractional coordinates):
Mo 0.500 0.500 0.000
Br 0.000 0.500 0.500
Rh 0.500 0.000 0.500
Rh 0.000 0.000 0.000

Output
- polymorph energy (0 for the lowest one) (meV/atom) = 468
- formation energy without anion corrections (eV per atom) = 0.6383
- calculated density (g cm⁻³) = 9.99
- magnetic moment (μB/atom) = 0.0002
- volume (Å³ per atom) = 15.9



No. 8
Density functional theory data (PBE-GGA) for Li3Ac2HoF12 after structural relaxation.

a b c (Å): 7.301 7.301 7.301
angles (deg): 63.19 63.19 63.19
Atoms (fractional coordinates):
Li 0.500 0.000 0.000
Li 0.000 0.500 0.000
Li 0.000 0.000 0.500
F 0.567 0.111 0.567
F 0.433 0.889 0.433
F 0.935 0.935 0.336
F 0.567 0.567 0.111
F 0.664 0.065 0.065
F 0.336 0.935 0.935
F 0.065 0.664 0.065
F 0.433 0.433 0.889
F 0.935 0.336 0.935
F 0.111 0.567 0.567
F 0.065 0.065 0.664
F 0.889 0.433 0.433
Ho 0.000 0.000 0.000
Ac 0.341 0.341 0.341
Ac 0.659 0.659 0.659

Output
- formation energy without anion corrections (eV per atom) = -3.4875
- calculated density (g cm⁻³) = 4.89
- magnetic moment (μB/atom) = 0.0000
- volume (Å³ per atom) = 16.4



No. 9
Density functional theory data (PBE-GGA) for K2LaBe after structural relaxation.

a b c (Å): 11.634 11.634 8.688
angles (deg): 47.97 47.97 90.00
Atoms (fractional coordinates):
K 0.875 0.756 0.750
K 0.375 0.494 0.750
K 0.506 0.125 0.250
K 0.244 0.625 0.250
Be 0.500 0.500 0.000
Be 0.250 0.750 0.500
La 0.000 0.000 0.000
La 0.750 0.250 0.500

Output
- formation enthalpy at 0 K (eV/atom) = 0.830
- calculated density (g cm⁻³) = 1.99
- magnetic moment (μB/atom) = 0.0000
- volume (Å³ per atom) = 47.3



No. 10
Density functional theory data (PBE-GGA) for Ac3In7Au2 after structural relaxation.

a b c (Å): 4.761 4.794 15.196
angles (deg): 99.03 90.00 90.00
Atoms (fractional coordinates):
In 0.500 0.082 0.167
In 0.500 0.275 0.550
In 0.000 0.000 0.000
In 0.000 0.417 0.833
In 0.500 0.725 0.450
In 0.500 0.918 0.833
In 0.000 0.583 0.167
Ac 0.000 0.819 0.638
Ac 0.500 0.500 0.000
Ac 0.000 0.181 0.362
Au 0.500 0.367 0.730
Au 0.500 0.633 0.270

Output
- formation enthalpy at 0 K (eV/atom) = -0.483
- polymorph energy (0 for the lowest one) (meV/atom) = 0
- calculated density (g cm⁻³) = 9.11
- magnetic moment (μB/atom) = 0.0000
- volume (Å³ per atom) = 28.5



No. 11
Density functional theory data (PBE-GGA) for KCuTc after structural relaxation.

a b c (Å): 4.838 4.838 4.838
angles (deg): 60.00 60.00 60.00
Last column: magnetic moment on the atom in μB.
Atoms (fractional coordinates):
Cu 0.500 0.500 0.500  0.04
K 0.750 0.750 0.750  0.04
Tc 0.000 0.000 0.000  2.98

Output
- formation enthalpy at 0 K (eV/atom) = 2.219
- polymorph energy (0 for the lowest one) (meV/atom) = 1377
- calculated density (g cm⁻³) = 4.16
- magnetic moment (μB/atom) = 1.1503
- volume (Å³ per atom) = 26.7



No. 12
Density functional theory data (PBE-GGA) for Sr2CdTcGe after structural relaxation.

a b c (Å): 6.134 4.922 6.134
angles (deg): 90.00 90.00 90.00
Last column: magnetic moment on the atom in μB.
Atoms (fractional coordinates):
Ge 0.000 0.500 0.000  -0.01
Sr 0.000 0.000 0.500  -0.02
Sr 0.500 0.000 0.000  -0.01
Tc 0.500 0.500 0.500  3.20
Cd 0.000 0.000 0.000  0.01

Output
- formation enthalpy at 0 K (eV/atom) = 0.960
- calculated density (g cm⁻³) = 4.11
- magnetic moment (μB/atom) = 0.7292
- volume (Å³ per atom) = 37.0